# SCAN SrHfPtRh2, single point on PBEsol structure
# DOS at the Fermi energy, states/eV per cell: 4.68
# Magnetization, μB/cell: 0.000
# Calculated volume, Å³ per atom: 21.3
# ΔE_f, eV per atom: 2.063
data_SrHfPtRh2
_chemical_formula_sum 'Sr1 Hf1 Pt1 Rh2'
_cell_length_a 4.5813
_cell_length_b 4.5813
_cell_length_c 5.0664
_cell_angle_alpha 90.00
_cell_angle_beta 90.00
_cell_angle_gamma 90.00
_space_group_name_H-M_alt 'P 4/m m m'
_space_group_IT_number 123
_space_group_name_Hall '-P 4 2'
loop_
_atom_site_label
_atom_site_type_symbol
_atom_site_fract_x
_atom_site_fract_y
_atom_site_fract_z
Sr1 Sr 0.0000 0.0000 0.0000
Hf1 Hf 0.0000 0.0000 0.5000
Pt1 Pt 0.5000 0.5000 0.5000
Rh1 Rh 0.0000 0.5000 0.0000

***

# SCAN Hf3RuPt, single point on PBEsol structure
# DOS at the Fermi energy, states/eV per cell: 7.28
# Magnetization, μB/cell: 0.001
# Calculated volume, Å³ per atom: 23.5
# ΔE_f, eV per atom: 0.557
data_Hf3RuPt
_chemical_formula_sum 'Hf3 Ru1 Pt1'
_cell_length_a 4.8972
_cell_length_b 4.8972
_cell_length_c 4.8972
_cell_angle_alpha 90.00
_cell_angle_beta 90.00
_cell_angle_gamma 90.00
_space_group_name_H-M_alt 'P m -3 m'
_space_group_IT_number 221
_space_group_name_Hall '-P 4 2 3'
loop_
_atom_site_label
_atom_site_type_symbol
_atom_site_fract_x
_atom_site_fract_y
_atom_site_fract_z
Hf1 Hf 0.0000 0.0000 0.5000
Ru1 Ru 0.5000 0.5000 0.5000
Pt1 Pt 0.0000 0.0000 0.0000

***

# SCAN HfPtS2, single point on PBEsol structure
# DOS at the Fermi energy, states/eV per cell: 8.91
# Magnetization, μB/cell: 0.000
# Uncorrected formation energy, eV/atom: -0.233
# Calculated volume, Å³ per atom: 19.3
data_HfPtS2
_chemical_formula_sum 'Hf3 Pt3 S6'
_cell_length_a 3.4166
_cell_length_b 3.4166
_cell_length_c 22.9379
_cell_angle_alpha 90.00
_cell_angle_beta 90.00
_cell_angle_gamma 120.00
_space_group_name_H-M_alt 'R -3 m'
_space_group_IT_number 166
_space_group_name_Hall '-R 3 2"'
loop_
_atom_site_label
_atom_site_type_symbol
_atom_site_fract_x
_atom_site_fract_y
_atom_site_fract_z
Hf1 Hf 0.0000 0.0000 0.0000
Pt1 Pt 0.0000 0.0000 0.5000
S1 S 0.0000 0.0000 0.1082